{"formula": "PaTaNO", "functional": "PBE", "state": "relaxed", "cell": [[3.7388, 0.0000, 0.0000], [0.0000, 3.7388, 0.0000], [0.0000, 0.0000, 8.3893]], "species": ["Pa", "Pa", "Ta", "Ta", "N", "N", "O", "O"], "fractional_positions": [[0.2500, 0.2500, 0.1692], [0.7500, 0.7500, 0.8308], [0.2500, 0.7500, 0.5000], [0.7500, 0.2500, 0.5000], [0.2500, 0.2500, 0.6745], [0.7500, 0.7500, 0.3255], [0.2500, 0.7500, 0.0000], [0.7500, 0.2500, 0.0000]], "magmom_total_mub_per_cell": 1.57, "polymorph_energy_mev_per_atom": 374, "volume_a3_per_atom": 14.658}